Entry 1:
Compound: PrTaSb
Source: OQMD
Functional: GGA-PBE
Structure: optimized geometry

a b c (Å): 5.143 5.143 5.143
angles (deg): 60.00 60.00 60.00
Atoms (fractional coordinates):
Sb 0.250 0.250 0.250
Ta 0.750 0.750 0.750
Pr 0.000 0.000 0.000

Values from the calculation:
**Total energy**: -5.940 eV per atom
**Mass density**: 7.7 g/cm³
**M_tot**: 3.28 μB per cell


Entry 2:
Compound: Li3USe4
Source: OQMD
Functional: GGA-PBE
Structure: optimized geometry

a b c (Å): 10.922 5.584 5.584
angles (deg): 90.00 90.00 90.00
Last column: magnetic moment on the atom in μB.
Atoms (fractional coordinates):
Li 0.500 0.751 0.564  0.00
U 0.000 0.750 0.565  1.26
Se 0.500 0.750 0.065  -0.04
U 0.500 0.250 0.065  1.26
Se 0.742 0.250 0.064  -0.06
Se 0.242 0.750 0.564  -0.06
Li 0.250 0.750 0.064  0.00
Li 0.000 0.249 0.064  0.00
Se 0.258 0.250 0.064  -0.06
Se 0.000 0.250 0.565  -0.04
Li 0.750 0.250 0.564  0.00
Se 0.500 0.251 0.565  -0.04
Se 0.000 0.749 0.065  -0.04
Li 0.250 0.250 0.564  0.00
Li 0.750 0.750 0.064  0.00
Se 0.758 0.750 0.564  -0.06

Values from the calculation:
**Total energy**: -5.046 eV per atom
**Mass density**: 5.6 g/cm³
**M_tot**: 1.99 μB per cell


Entry 3:
Compound: KFeNiS3
Source: OQMD
Functional: GGA-PBE
Structure: optimized geometry

a b c (Å): 14.166 3.478 9.073
angles (deg): 90.00 90.00 90.00
Last column: magnetic moment on the atom in μB.
Atoms (fractional coordinates):
Ni 0.013 0.250 0.400  0.31
S 0.071 0.750 0.931  -0.06
S 0.082 0.250 0.629  0.01
S 0.571 0.750 0.569  -0.06
K 0.241 0.750 0.450  0.00
S 0.418 0.750 0.129  0.01
S 0.881 0.750 0.774  0.03
S 0.582 0.250 0.871  0.01
Fe 0.515 0.750 0.329  0.99
Fe 0.015 0.750 0.171  0.99
S 0.119 0.250 0.226  0.03
Fe 0.985 0.250 0.829  0.99
Ni 0.487 0.750 0.900  0.31
S 0.619 0.250 0.274  0.03
K 0.741 0.750 0.050  0.00
K 0.259 0.250 0.950  0.00
K 0.759 0.250 0.550  0.00
S 0.918 0.750 0.371  0.01
Ni 0.513 0.250 0.100  0.31
Fe 0.485 0.250 0.671  0.99
S 0.429 0.250 0.431  -0.06
Ni 0.987 0.750 0.600  0.31
S 0.929 0.250 0.069  -0.06
S 0.381 0.750 0.726  0.03

Values from the calculation:
**Total energy**: -5.149 eV per atom
**Mass density**: 3.7 g/cm³
**M_tot**: 5.18 μB per cell


Entry 4:
Compound: RbTaBr2Cl2O
Source: OQMD
Functional: GGA-PBE
Structure: optimized geometry

a b c (Å): 7.178 7.178 7.743
angles (deg): 106.36 106.36 32.07
Atoms (fractional coordinates):
Cl 0.367 0.381 0.709
Br 0.633 0.649 0.848
O 0.999 0.001 0.000
Rb 0.995 0.005 0.500
Ta 0.535 0.465 0.000
Br 0.351 0.367 0.152
Cl 0.619 0.633 0.291

Values from the calculation:
**Total energy**: -5.247 eV per atom
**Mass density**: 4.2 g/cm³
**M_tot**: 0.00 μB per cell


Entry 5:
Compound: PaCoB
Source: OQMD
Functional: GGA-PBE
Structure: optimized geometry

a b c (Å): 4.037 4.037 4.037
angles (deg): 60.00 60.00 60.00
Last column: magnetic moment on the atom in μB.
Atoms (fractional coordinates):
B 0.000 0.000 0.000  0.09
Co 0.750 0.750 0.750  0.84
Pa 0.250 0.250 0.250  0.02

Values from the calculation:
**Mass density**: 10.7 g/cm³
**M_tot**: 1.00 μB per cell
**Energy relative to the lowest polymorph listed for this composition**: 0.0 meV/atom


Entry 6:
Compound: FeAg2
Source: OQMD
Functional: GGA-PBE
Structure: optimized geometry

a b c (Å): 5.356 5.356 8.495
angles (deg): 90.00 90.00 120.00
Last column: magnetic moment on the atom in μB.
Atoms (fractional coordinates):
Fe 0.667 0.333 0.438  3.05
Fe 0.333 0.667 0.938  3.07
Ag 0.000 0.000 0.500  -0.01
Fe 0.667 0.333 0.062  3.07
Ag 0.000 0.000 0.000  -0.01
Fe 0.333 0.667 0.562  3.05
Ag 0.829 0.657 0.750  -0.01
Ag 0.171 0.829 0.250  -0.01
Ag 0.657 0.829 0.250  -0.01
Ag 0.171 0.343 0.250  -0.01
Ag 0.829 0.171 0.750  -0.01
Ag 0.343 0.171 0.750  -0.01

Values from the calculation:
**Mass density**: 8.5 g/cm³
**M_tot**: 11.93 μB per cell
**Formation enthalpy at 0 K**: 0.67 eV per atom


Entry 7:
Compound: GdEr2Te3
Source: OQMD
Functional: GGA-PBE
Structure: optimized geometry

a b c (Å): 4.333 4.333 10.643
angles (deg): 90.00 90.00 120.00
Atoms (fractional coordinates):
Te 0.000 0.000 0.500
Er 0.333 0.667 0.665
Te 0.333 0.667 0.172
Te 0.667 0.333 0.828
Gd 0.000 0.000 0.000
Er 0.667 0.333 0.335

Values from the calculation:
**Total energy**: -5.121 eV per atom
**Mass density**: 8.4 g/cm³
**M_tot**: 0.00 μB per cell


Entry 8:
Compound: P2Ir2Pb
Source: OQMD
Functional: GGA-PBE
Structure: optimized geometry

a b c (Å): 4.160 4.160 10.035
angles (deg): 90.00 90.00 90.00
Atoms (fractional coordinates):
Ir 0.500 0.000 0.385
Ir 0.000 0.500 0.615
P 0.500 0.000 0.130
Pb 0.500 0.000 0.751
P 0.500 0.500 0.500
Ir 0.500 0.500 0.000
Ir 0.000 0.000 0.000
P 0.000 0.500 0.870
P 0.000 0.000 0.500
Pb 0.000 0.500 0.249

Values from the calculation:
**Total energy**: -6.643 eV per atom
**Mass density**: 12.5 g/cm³
**M_tot**: 0.00 μB per cell


Entry 9:
Compound: Ni3GeTe4
Source: OQMD
Functional: GGA-PBE
Structure: optimized geometry

a b c (Å): 7.164 7.164 7.164
angles (deg): 131.71 131.71 70.68
Atoms (fractional coordinates):
Ni 0.250 0.750 0.500
Ni 0.500 0.500 0.000
Te 0.866 0.402 0.000
Te 0.134 0.134 0.536
Ge 0.000 0.000 0.000
Ni 0.750 0.250 0.500
Te 0.598 0.598 0.464
Te 0.402 0.866 0.000

Values from the calculation:
**Total energy**: -4.339 eV per atom
**Mass density**: 6.3 g/cm³
**M_tot**: 0.01 μB per cell


Entry 10:
Compound: NdZrO3
Source: OQMD
Functional: GGA-PBE
Structure: optimized geometry

a b c (Å): 5.591 5.591 6.084
angles (deg): 62.65 62.65 60.00
Atoms (fractional coordinates):
Nd 0.377 0.377 0.870
O 0.975 0.430 0.763
O 0.430 0.831 0.763
Nd 0.623 0.623 0.130
O 0.025 0.570 0.237
O 0.570 0.169 0.237
O 0.831 0.975 0.763
O 0.169 0.025 0.237
Zr 0.845 0.845 0.465
Zr 0.155 0.155 0.535

Values from the calculation:
**Total energy**: -8.683 eV per atom
**Mass density**: 6.7 g/cm³
**M_tot**: 0.00 μB per cell


Entry 11:
Compound: SrTlCdAu
Source: OQMD
Functional: GGA-PBE
Structure: optimized geometry

a b c (Å): 5.288 5.288 5.288
angles (deg): 60.00 60.00 60.00
Atoms (fractional coordinates):
Au 0.750 0.750 0.750
Tl 0.250 0.250 0.250
Sr 0.000 0.000 0.000
Cd 0.500 0.500 0.500

Values from the calculation:
**Mass density**: 9.5 g/cm³
**Energy relative to the lowest polymorph listed for this composition**: 1.0 meV/atom


Entry 12:
Compound: NaNbReSb
Source: OQMD
Functional: GGA-PBE
Structure: optimized geometry

a b c (Å): 4.669 4.669 4.669
angles (deg): 60.00 60.00 60.00
Atoms (fractional coordinates):
Na 0.750 0.750 0.750
Re 0.500 0.500 0.500
Nb 0.250 0.250 0.250
Sb 0.000 0.000 0.000

Values from the calculation:
**Mass density**: 9.8 g/cm³
**M_tot**: 0.01 μB per cell
**Energy relative to the lowest polymorph listed for this composition**: 232.9 meV/atom